No. 1
NiRh2 (GGA-PBEsol, relaxed); DFT formation energy = 16.9 kJ/mol of formula units; excess energy over the best structure of this formula in the dataset = 0.024 eV per atom
1.0
3.665 0.000 0.000
0.000 3.712 0.000
0.000 1.856 5.558
Ni Rh
2 4
direct
0.000 0.166 0.667
0.000 0.834 0.333
0.500 0.000 0.000
0.000 0.500 0.000
0.500 0.331 0.338
0.500 0.669 0.662

=====

No. 2
Mg3TiNi (GGA-PBEsol, relaxed); DFT formation energy = 765.7 kJ/mol of formula units
1.0
5.115 0.000 0.000
0.000 5.115 0.000
0.000 0.000 5.115
Mg Ti Ni
3 1 1
direct
0.000 0.500 0.000
0.000 0.000 0.500
0.500 0.000 0.000
0.000 0.000 0.000
0.500 0.500 0.500

=====

No. 3
TaCoW (GGA-PBEsol, relaxed); DFT formation energy = 363.1 kJ/mol of formula units; excess energy over the best structure of this formula in the dataset = 1.122 eV per atom
1.0
-2.667 1.018 3.069
-0.034 -2.205 3.565
1.438 1.720 3.542
W Co Ta
1 1 1
direct
0.000 0.000 0.000
0.500 0.500 0.500
0.250 0.250 0.250

=====

No. 4
FePdSe2Br (GGA-PBEsol, relaxed); raw formation energy = 710 meV/atom
1.0
4.867 0.000 0.000
0.000 4.867 0.000
0.000 0.000 4.919
Fe Se Pd Br
1 2 1 1
direct
0.500 0.500 0.500
0.500 0.000 0.000
0.000 0.500 0.000
0.000 0.000 0.000
0.000 0.000 0.500

=====

No. 5
Hf2SbAsAu (GGA-PBEsol, relaxed); raw formation energy = 978 meV/atom
1.0
-0.899 0.207 -4.776
-1.693 -4.973 0.103
-4.878 1.681 0.991
As Hf Sb Au
1 2 1 1
direct
0.500 0.500 0.500
0.000 0.000 0.500
0.000 0.500 0.000
0.000 0.000 0.000
0.500 0.000 0.000

=====

No. 6
K3BeRe (GGA-PBEsol, relaxed); DFT formation energy = 966.6 kJ/mol of formula units
1.0
6.060 0.000 0.000
0.000 6.060 0.000
0.000 0.000 6.060
K Re Be
3 1 1
direct
0.000 0.000 0.500
0.500 0.000 0.000
0.000 0.500 0.000
0.500 0.500 0.500
0.000 0.000 0.000